Material: Li5Ag2Hg2Bi
Method: DFT, PBE
State: relaxed

The structure belongs to space group P4/mbm (No. 127); the cell edges are 11.017, 11.017 and 3.308 Å and the angles 90.00°, 90.00° and 90.00°. The distinct sites, in fractional coordinates, are Li at (0.000, 0.500, 0.000), Li at (0.136, 0.164, 0.000), Ag at (0.139, 0.361, 0.500), Hg at (0.149, 0.649, 0.500) and Bi at (0.000, 0.000, 0.500).

As for the density of states at the Fermi level: 0.18 states/eV/atom. The calculated total energy is -0.0813 hartree per atom. Its total magnetization is 0.0 μB/cell. The value obtained for the mass density is 7.12 g cm⁻³.